LiAg3Au3 after structural relaxation. Source: the Alexandria database, functional PBE-GGA.

```
data_LiAg3Au3
_cell_length_a 7.9495
_cell_length_b 8.0222
_cell_length_c 8.2249
_cell_angle_alpha 90.00
_cell_angle_beta 90.00
_cell_angle_gamma 90.00
_space_group_name_H-M_alt 'C m m m'
_space_group_IT_number 65
_space_group_name_Hall '-C 2 2'
loop_
_atom_site_label
_atom_site_type_symbol
_atom_site_fract_x
_atom_site_fract_y
_atom_site_fract_z
Li1 Li 0.2405 0.0000 0.0000
Ag1 Ag 0.0000 0.2332 0.5000
Ag2 Ag 0.0000 0.2643 0.0000
Ag3 Ag 0.0000 0.5000 0.2711
Au1 Au 0.0000 0.0000 0.2432
Au2 Au 0.2500 0.2500 0.2500
```

Output
formation enthalpy at 0 K	-0.1064	eV/atom
E above lowest polymorph	79	meV per atom
M_tot	0.0	μB/f.u.
ρ	11.668	g cm⁻³
volume	18.7	A^3/atom



Li7Ag12Au after structural relaxation. Source: the Alexandria database, functional PBE-GGA.

```
data_Li7Ag12Au
_cell_length_a 10.2205
_cell_length_b 10.2205
_cell_length_c 12.1181
_cell_angle_alpha 90.00
_cell_angle_beta 90.00
_cell_angle_gamma 120.00
_space_group_name_H-M_alt 'R -3'
_space_group_IT_number 148
_space_group_name_Hall '-R 3'
loop_
_atom_site_label
_atom_site_type_symbol
_atom_site_fract_x
_atom_site_fract_y
_atom_site_fract_z
Li1 Li 0.0000 0.0000 0.0000
Li2 Li 0.0222 0.1901 0.3113
Ag1 Ag 0.0220 0.4472 0.1967
Ag2 Ag 0.0741 0.8224 0.9195
Au1 Au 0.0000 0.0000 0.5000
```

Output
formation enthalpy at 0 K	-0.1120	eV/atom
M_tot	0.0	μB/f.u.
ρ	6.998	g cm⁻³
volume	18.3	A^3/atom



Li2Ag4Au3 after structural relaxation. Source: the Alexandria database, functional PBE-GGA.

```
data_Li2Ag4Au3
_cell_length_a 12.4527
_cell_length_b 4.0845
_cell_length_c 6.4077
_cell_angle_alpha 90.00
_cell_angle_beta 109.27
_cell_angle_gamma 90.00
_space_group_name_H-M_alt 'C 1 2/m 1'
_space_group_IT_number 12
loop_
_space_group_symop_operation_xyz
'x,y,z'
'-x,-y,-z'
'-x,y,-z'
'x,-y,z'
'x+1/2,y+1/2,z'
'-x+1/2,-y+1/2,-z'
'-x+1/2,y+1/2,-z'
'x+1/2,-y+1/2,z'
loop_
_atom_site_label
_atom_site_type_symbol
_atom_site_fract_x
_atom_site_fract_y
_atom_site_fract_z
Li1 Li 0.1608 0.0000 0.4960
Ag1 Ag 0.0555 0.0000 0.8355
Ag2 Ag 0.2215 0.5000 0.8287
Au1 Au 0.0000 0.5000 0.5000
Au2 Au 0.1193 0.5000 0.1902
```

Output
formation enthalpy at 0 K	-0.2270	eV/atom
E above lowest polymorph	0	meV per atom
M_tot	0.0	μB/f.u.
ρ	11.186	g cm⁻³
volume	17.1	A^3/atom



LiAg4Au2 after structural relaxation. Source: the Alexandria database, functional PBE-GGA.

```
data_LiAg4Au2
_cell_length_a 5.5924
_cell_length_b 6.9483
_cell_length_c 7.5410
_cell_angle_alpha 64.12
_cell_angle_beta 69.40
_cell_angle_gamma 74.85
_space_group_name_H-M_alt 'P 1'
_space_group_IT_number 1
loop_
_space_group_symop_operation_xyz
'x,y,z'
loop_
_atom_site_label
_atom_site_type_symbol
_atom_site_fract_x
_atom_site_fract_y
_atom_site_fract_z
Li1 Li 0.0000 0.0000 0.0000
Li2 Li 0.3913 0.5261 0.5944
Ag1 Ag 0.0992 0.3854 0.0229
Ag2 Ag 0.1421 0.5762 0.2907
Ag3 Ag 0.2402 0.9544 0.3098
Ag4 Ag 0.4300 0.7181 0.8612
Ag5 Ag 0.5227 0.1009 0.8862
Ag6 Ag 0.5748 0.2878 0.1467
Ag7 Ag 0.6669 0.6705 0.1710
Ag8 Ag 0.8610 0.4335 0.7187
Au1 Au 0.2833 0.1491 0.5852
Au2 Au 0.7158 0.8610 0.4254
Au3 Au 0.8066 0.2440 0.4589
Au4 Au 0.9650 0.8093 0.7405
```

Output
formation enthalpy at 0 K	-0.1335	eV/atom
E above lowest polymorph	0	meV per atom
M_tot	0.0	μB/f.u.
ρ	11.294	g cm⁻³
volume	17.5	A^3/atom



LiAg7Au4 after structural relaxation. Source: the Alexandria database, functional PBE-GGA.

```
data_LiAg7Au4
_cell_length_a 4.9327
_cell_length_b 5.5339
_cell_length_c 8.2551
_cell_angle_alpha 106.59
_cell_angle_beta 91.73
_cell_angle_gamma 92.40
_space_group_name_H-M_alt 'P -1'
_space_group_IT_number 2
loop_
_space_group_symop_operation_xyz
'x,y,z'
'-x,-y,-z'
loop_
_atom_site_label
_atom_site_type_symbol
_atom_site_fract_x
_atom_site_fract_y
_atom_site_fract_z
Li1 Li 0.0000 0.0000 0.0000
Ag1 Ag 0.2459 0.4816 0.9164
Ag2 Ag 0.2538 0.2844 0.5693
Ag3 Ag 0.2571 0.8183 0.6467
Ag4 Ag 0.5000 0.0000 0.0000
Au1 Au 0.2265 0.8762 0.2668
Au2 Au 0.2461 0.3828 0.2514
```

Output
formation enthalpy at 0 K	-0.0556	eV/atom
E above lowest polymorph	0	meV per atom
M_tot	0.0	μB/f.u.
ρ	11.939	g cm⁻³
volume	18.0	A^3/atom



Li2AgAu9 after structural relaxation. Source: the Alexandria database, functional PBE-GGA.

```
data_Li2AgAu9
_cell_length_a 4.1022
_cell_length_b 4.1022
_cell_length_c 12.2709
_cell_angle_alpha 90.00
_cell_angle_beta 90.00
_cell_angle_gamma 90.00
_space_group_name_H-M_alt 'P 4/m m m'
_space_group_IT_number 123
_space_group_name_Hall '-P 4 2'
loop_
_atom_site_label
_atom_site_type_symbol
_atom_site_fract_x
_atom_site_fract_y
_atom_site_fract_z
Li1 Li 0.0000 0.0000 0.1643
Ag1 Ag 0.0000 0.0000 0.5000
Au1 Au 0.0000 0.5000 0.0000
Au2 Au 0.0000 0.5000 0.3265
Au3 Au 0.5000 0.5000 0.1634
Au4 Au 0.5000 0.5000 0.5000
```

Output
formation enthalpy at 0 K	-0.2399	eV/atom
M_tot	0.0	μB/f.u.
ρ	15.234	g cm⁻³
volume	17.2	A^3/atom



Li3AgAu2 after structural relaxation. Source: the Alexandria database, functional PBE-GGA.

```
data_Li3AgAu2
_cell_length_a 4.3573
_cell_length_b 13.1094
_cell_length_c 3.2482
_cell_angle_alpha 90.00
_cell_angle_beta 90.00
_cell_angle_gamma 90.00
_space_group_name_H-M_alt 'C m m m'
_space_group_IT_number 65
_space_group_name_Hall '-C 2 2'
loop_
_atom_site_label
_atom_site_type_symbol
_atom_site_fract_x
_atom_site_fract_y
_atom_site_fract_z
Li1 Li 0.0000 0.0000 0.0000
Li2 Li 0.0000 0.3283 0.0000
Ag1 Ag 0.0000 0.5000 0.5000
Au1 Au 0.0000 0.1634 0.5000
```

Output
formation enthalpy at 0 K	-0.4423	eV/atom
M_tot	0.0	μB/f.u.
ρ	9.355	g cm⁻³
volume	15.5	A^3/atom



Li2Ag3Au2 after structural relaxation. Source: the Alexandria database, functional PBE-GGA.

```
data_Li2Ag3Au2
_cell_length_a 9.1723
_cell_length_b 4.0714
_cell_length_c 6.3746
_cell_angle_alpha 90.00
_cell_angle_beta 96.57
_cell_angle_gamma 90.00
_space_group_name_H-M_alt 'C 1 2/m 1'
_space_group_IT_number 12
loop_
_space_group_symop_operation_xyz
'x,y,z'
'-x,-y,-z'
'-x,y,-z'
'x,-y,z'
'x+1/2,y+1/2,z'
'-x+1/2,-y+1/2,-z'
'-x+1/2,y+1/2,-z'
'x+1/2,-y+1/2,z'
loop_
_atom_site_label
_atom_site_type_symbol
_atom_site_fract_x
_atom_site_fract_y
_atom_site_fract_z
Li1 Li 0.1358 0.0000 0.4274
Ag1 Ag 0.0000 0.0000 0.0000
Ag2 Ag 0.2123 0.5000 0.1502
Au1 Au 0.0776 0.5000 0.7012
```

Output
formation enthalpy at 0 K	-0.2574	eV/atom
E above lowest polymorph	0	meV per atom
M_tot	0.0	μB/f.u.
ρ	10.271	g cm⁻³
volume	16.9	A^3/atom



> Which of these has the lowest volume?

Li3AgAu2



> formation enthalpy at 0 K of number 6 (Li2AgAu9)?

-0.2399 eV/atom



> Which of these has the lowest volume?

Li3AgAu2



> Which value of formation enthalpy at 0 K does entry 1 give?

-0.1064 eV/atom